# YMgTe4

An optimized crystal structure of YMgTe4 (PBE, Alexandria via LeMat-Bulk).

Cell: 6.374 6.374 6.374 Å, 60.00 60.00 60.00°
Positions (direct):
1 Y 0.750 0.750 0.750
2 Mg 0.000 0.000 0.000
3 Te 0.375 0.875 0.375
4 Te 0.875 0.375 0.375
5 Te 0.375 0.375 0.875
6 Te 0.375 0.375 0.375

D(E_F): 0.474 states/eV per atom
formation energy from raw total energies: 0.084 eV/atom